# 1
This record from Alexandria describes a geometry-optimized NaCaTl2Ir structure. The functional is PBE-GGA.

- DFT formation energy (eV per atom) = -0.068
- density of states at the Fermi level (states/eV/atom) = 0.621
- crystal system = tetragonal

Cell: 5.3470 5.3470 5.4231 Å, 90.00 90.00 90.00°
With the nearest neighbours (Å) after each atom.
Element x y z (fractional)
1 Na 0.0000 0.0000 0.0000  4 Ca 3.78, 8 Tl 3.81
2 Ca 0.5000 0.5000 0.0000  2 Ir 2.71
3 Tl 0.0000 0.5000 0.5000  2 Ir 2.67
4 Tl 0.5000 0.0000 0.5000  2 Ir 2.67
5 Ir 0.5000 0.5000 0.5000  4 Tl 2.67, 2 Ca 2.71

# 2
This record from Alexandria describes a geometry-optimized NaCa2TlIr structure. The functional is PBE-GGA.

- DFT formation energy (eV per atom) = -0.170
- density of states at the Fermi level (states/eV/atom) = 0.655
- crystal system = tetragonal

Cell: 5.5099 5.5099 5.3552 Å, 90.00 90.00 90.00°
With the nearest neighbours (Å) after each atom.
Element x y z (fractional)
1 Na 0.0000 0.0000 0.0000  8 Ca 3.84, 4 Tl 3.90
2 Ca 0.0000 0.5000 0.5000  2 Ir 2.75
3 Ca 0.5000 0.0000 0.5000  2 Ir 2.75
4 Tl 0.5000 0.5000 0.0000  2 Ir 2.68
5 Ir 0.5000 0.5000 0.5000  2 Tl 2.68, 4 Ca 2.75

# 3
This record from Alexandria describes a geometry-optimized NaCa2YIr structure. The functional is PBE-GGA.

- distance to the lowest polymorph of the same formula (eV/f.u.) = 9.807
- DFT formation energy (eV per atom) = 1.737
- density of states at the Fermi level (states/eV/atom) = 1.373
- crystal system = tetragonal

Cell: 5.7279 5.7279 5.2156 Å, 90.00 90.00 90.00°
With the nearest neighbours (Å) after each atom.
Element x y z (fractional)
1 Na 0.0000 0.0000 0.0000  2 Y 2.61
2 Ca 0.0000 0.5000 0.5000  2 Y 2.86
3 Ca 0.5000 0.0000 0.5000  2 Y 2.86
4 Y 0.0000 0.0000 0.5000  2 Na 2.61, 4 Ca 2.86
5 Ir 0.5000 0.5000 0.0000  8 Ca 3.87, 4 Na 4.05

# 4
This record from Alexandria describes a geometry-optimized NaCa2YIr structure. The functional is PBE-GGA.

- distance to the lowest polymorph of the same formula (eV/f.u.) = 0.000
- DFT formation energy (eV per atom) = -0.225
- density of states at the Fermi level (states/eV/atom) = 0.641
- crystal system = tetragonal

Cell: 5.6637 5.6637 5.3712 Å, 90.00 90.00 90.00°
With the nearest neighbours (Å) after each atom.
Element x y z (fractional)
1 Na 0.0000 0.0000 0.0000  8 Ca 3.90, 4 Y 4.00
2 Ca 0.0000 0.5000 0.5000  2 Ir 2.83
3 Ca 0.5000 0.0000 0.5000  2 Ir 2.83
4 Y 0.5000 0.5000 0.0000  2 Ir 2.69
5 Ir 0.5000 0.5000 0.5000  2 Y 2.69, 4 Ca 2.83

# 5
This record from Alexandria describes a geometry-optimized Ca2Nb2Ir structure. The functional is PBE-GGA.

- distance to the lowest polymorph of the same formula (eV/f.u.) = 3.308
- DFT formation energy (eV per atom) = 1.089
- density of states at the Fermi level (states/eV/atom) = 0.860
- crystal system = tetragonal

Cell: 8.3011 8.3011 3.4155 Å, 90.00 90.00 90.00°
With the nearest neighbours (Å) after each atom.
Element x y z (fractional)
1 Ca 0.2011 0.2989 0.0000  6 Nb 2.92-3.13, 2 Ir 2.99
2 Ca 0.2989 0.7989 0.0000  6 Nb 2.92-3.13, 2 Ir 2.99
3 Ca 0.7011 0.2011 0.0000  6 Nb 2.92-3.13, 2 Ir 2.99
4 Ca 0.7989 0.7011 0.0000  6 Nb 2.92-3.13, 2 Ir 2.99
5 Nb 0.0974 0.5974 0.5000  1 Nb 2.29
6 Nb 0.4026 0.0974 0.5000  1 Nb 2.29
7 Nb 0.5974 0.9026 0.5000  1 Nb 2.29
8 Nb 0.9026 0.4026 0.5000  1 Nb 2.29
9 Ir 0.0000 0.0000 0.0000  4 Ca 2.99
10 Ir 0.5000 0.5000 0.0000  4 Ca 2.99

# 6
This record from Alexandria describes a geometry-optimized CaNb2Ir structure. The functional is PBE-GGA.

- distance to the lowest polymorph of the same formula (eV/f.u.) = 0.000
- DFT formation energy (eV per atom) = 0.270
- density of states at the Fermi level (states/eV/atom) = 1.008
- crystal system = cubic

Cell: 4.6787 4.6787 4.6787 Å, 60.00 60.00 60.00°
With the nearest neighbours (Å) after each atom.
Element x y z (fractional)
1 Ca 0.0000 0.0000 0.0000  8 Nb 2.87
2 Nb 0.2500 0.2500 0.2500  4 Ir 2.87, 4 Ca 2.87
3 Nb 0.7500 0.7500 0.7500  4 Ir 2.87, 4 Ca 2.87
4 Ir 0.5000 0.5000 0.5000  8 Nb 2.87

Number 1: calculated total energy -17.25 eV per formula unit. Number 2: calculated total energy -17.40 eV per formula unit. Number 3: calculated total energy -11.96 eV per formula unit. Number 4: calculated total energy -21.77 eV per formula unit. Number 5: calculated total energy -27.56 eV per formula unit. Number 6: calculated total energy -29.92 eV per formula unit.